CsGa2Ge | PBE | relaxed

Unit cell a=5.1927 b=7.9558 c=13.7031 alpha=90.27 beta=90.00 gamma=90.01
With the nearest neighbours (Å) after each atom.
Positions (direct):
Cs  0.2501  0.5006  0.2500  6 Ga 3.69-4.09
Cs  0.7499  0.4994  0.7500  6 Ga 3.69-4.09
Cs  0.7501  0.9994  0.2500  6 Ga 3.69-4.09
Cs  0.2499  0.0006  0.7500  6 Ga 3.69-4.09
Ga  0.7784  0.9998  0.9517  2 Ge 2.55, 1 Ga 2.65
Ga  0.2216  0.0002  0.0483  2 Ge 2.55, 1 Ga 2.65
Ga  0.2784  0.5003  0.5483  2 Ge 2.55, 1 Ga 2.65
Ga  0.7216  0.4997  0.4517  2 Ge 2.55, 1 Ga 2.65
Ga  0.7784  0.5007  0.0483  2 Ge 2.55, 1 Ga 2.65
Ga  0.2216  0.4993  0.9517  2 Ge 2.55, 1 Ga 2.65
Ga  0.2785  0.9994  0.4517  2 Ge 2.55, 1 Ga 2.65
Ga  0.7215  0.0006  0.5483  2 Ge 2.55, 1 Ga 2.65
Ge  0.0002  0.2500  0.4997  4 Ga 2.55
Ge  0.9998  0.7500  0.5003  4 Ga 2.55
Ge  0.5002  0.2500  0.0004  4 Ga 2.55
Ge  0.4998  0.7500  0.9996  4 Ga 2.55

Computed properties:
Total magnetization (Bohr magnetons per cell): 0.00
Uncorrected energy (eV per cell): -46.1
Space-group type: P2_1/c, No. 14
ΔH_f (0 K) (meV/atom): 0
N(E_F) (states/eV/atom): 0.386
V (Å³/cell): 566.1

=====

K2TaAgO4 | PBE | relaxed

Unit cell a=5.8636 b=5.8636 c=5.8636 alpha=99.96 beta=114.43 gamma=114.43
With the nearest neighbours (Å) after each atom.
Positions (direct):
K  0.5000  0.7500  0.2500  4 O 2.62
K  0.0000  0.0000  0.0000  8 O 3.11-3.15
Ta  0.0000  0.5000  0.5000  4 O 1.88
Ag  0.5000  0.2500  0.7500  4 O 2.36
O  0.6581  0.4553  0.4873  1 Ta 1.88
O  0.0320  0.2028  0.5447  1 Ta 1.88
O  0.9680  0.5127  0.1708  1 Ta 1.88
O  0.3419  0.8292  0.7972  1 Ta 1.88

Computed properties:
Total magnetization (Bohr magnetons per cell): 0.00
Uncorrected energy (eV per cell): -52.0
Space-group type: I-4, No. 82
N(E_F) (states/eV/atom): 0.000
E_form (uncorrected) (meV per atom): -1904
V (Å³/cell): 152.1

=====

LiTb3Sm2Te6 | PBE | relaxed

Unit cell a=4.3774 b=8.7739 c=9.8127 alpha=102.95 beta=102.89 gamma=90.00
With the nearest neighbours (Å) after each atom.
Positions (direct):
Li  0.5000  0.0000  0.0000  6 Te 3.01-3.05
Tb  0.5000  0.5000  0.0000  6 Te 3.04-3.15
Tb  0.8304  0.1686  0.6609  6 Te 3.05-3.14
Tb  0.1696  0.8314  0.3391  6 Te 3.05-3.14
Sm  0.8302  0.6594  0.6605  6 Te 3.10-3.18
Sm  0.1698  0.3406  0.3395  6 Te 3.10-3.18
Te  0.3383  0.9230  0.6765  1 Li 3.01, 3 Tb 3.10-3.14, 2 Sm 3.16
Te  0.6635  0.5874  0.3270  3 Tb 3.04-3.05, 3 Sm 3.10-3.11
Te  0.6617  0.0770  0.3235  1 Li 3.01, 3 Tb 3.10-3.14, 2 Sm 3.16
Te  0.9989  0.2419  0.9978  2 Li 3.05, 3 Tb 3.14-3.15, 1 Sm 3.18
Te  0.0011  0.7581  0.0022  2 Li 3.05, 3 Tb 3.14-3.15, 1 Sm 3.18
Te  0.3365  0.4126  0.6730  3 Tb 3.04-3.05, 3 Sm 3.10-3.11

Computed properties:
Total magnetization (Bohr magnetons per cell): 0.00
Uncorrected energy (eV per cell): -60.3
Space-group type: C2/m, No. 12
N(E_F) (states/eV/atom): 0.324
E_form (uncorrected) (meV per atom): -1348
V (Å³/cell): 357.5

=====

K3Tl2 | PBE | relaxed

Unit cell a=4.3706 b=7.8839 c=14.3398 alpha=87.58 beta=81.23 gamma=73.91
With the nearest neighbours (Å) after each atom.
Positions (direct):
K  0.5996  0.1695  0.7171  4 Tl 3.70-3.95, 2 K 4.05
K  0.4861  0.8305  0.2829  4 Tl 3.70-3.95, 2 K 4.05
K  0.0666  0.6695  0.7829  4 Tl 3.70-3.95, 2 K 4.05
K  0.5190  0.3305  0.2171  4 Tl 3.70-3.95, 2 K 4.05
K  0.2883  0.0000  0.0000  4 Tl 3.74-3.86
K  0.0383  0.5000  0.5000  4 Tl 3.74-3.86
Tl  0.6451  0.3953  0.9407  2 Tl 3.18
Tl  0.9810  0.6047  0.0593  2 Tl 3.18
Tl  0.3357  0.8953  0.5593  2 Tl 3.18
Tl  0.7903  0.1047  0.4407  2 Tl 3.18

Computed properties:
Total magnetization (Bohr magnetons per cell): 0.00
Uncorrected energy (eV per cell): -16.5
Space-group type: Fdd2, No. 43
ΔH_f (0 K) (meV/atom): -44
N(E_F) (states/eV/atom): 0.908
V (Å³/cell): 469.2

=====

NpBrCl6 | PBE | relaxed

Unit cell a=8.0241 b=6.9921 c=6.9921 alpha=64.18 beta=77.75 gamma=102.25
With the nearest neighbours (Å) after each atom.
Positions (direct):
Np  0.5000  0.5000  0.5000  6 Cl 2.47-2.68
Br  0.0000  0.0000  0.0000  2 Cl 2.41
Cl  0.6735  0.8922  0.1078  1 Br 2.41, 1 Np 2.68
Cl  0.2953  0.6778  0.6173  1 Np 2.47
Cl  0.3265  0.1078  0.8922  1 Br 2.41, 1 Np 2.68
Cl  0.7047  0.6173  0.6778  1 Np 2.47
Cl  0.7047  0.3222  0.3827  1 Np 2.47
Cl  0.2953  0.3827  0.3222  1 Np 2.47

Computed properties:
Total magnetization (Bohr magnetons per cell): 2.00
Uncorrected energy (eV per cell): -34.3
Space-group type: C2/m, No. 12
N(E_F) (states/eV/atom): 0.642
E_form (uncorrected) (meV per atom): -1080
V (Å³/cell): 323.7

=====

Dy15Tm4Zr | PBE | relaxed

Unit cell a=4.9754 b=4.9754 c=24.7585 alpha=90.00 beta=90.00 gamma=90.00
With the nearest neighbours (Å) after each atom.
Positions (direct):
Dy  0.5000  0.5000  0.0000  8 Dy 3.42, 4 Zr 3.52
Dy  0.5000  0.5000  0.1976  8 Dy 3.51-3.56, 4 Tm 3.52
Dy  0.5000  0.5000  0.3991  4 Tm 3.52, 8 Dy 3.53
Dy  0.5000  0.5000  0.6009  4 Tm 3.52, 8 Dy 3.53
Dy  0.5000  0.5000  0.8024  8 Dy 3.51-3.56, 4 Tm 3.52
Dy  0.5000  0.0000  0.0947  8 Dy 3.42-3.56, 2 Zr 3.42, 2 Tm 3.57
Dy  0.5000  0.0000  0.2978  4 Tm 3.51-3.53, 8 Dy 3.51-3.53
Dy  0.5000  0.0000  0.5000  8 Dy 3.52-3.53, 4 Tm 3.53
Dy  0.5000  0.0000  0.7022  4 Tm 3.51-3.53, 8 Dy 3.51-3.53
Dy  0.5000  0.0000  0.9053  2 Zr 3.42, 8 Dy 3.42-3.56, 2 Tm 3.57
Dy  0.0000  0.5000  0.0947  8 Dy 3.42-3.56, 2 Zr 3.42, 2 Tm 3.57
Dy  0.0000  0.5000  0.2978  4 Tm 3.51-3.53, 8 Dy 3.51-3.53
Dy  0.0000  0.5000  0.5000  8 Dy 3.52-3.53, 4 Tm 3.53
Dy  0.0000  0.5000  0.7022  4 Tm 3.51-3.53, 8 Dy 3.51-3.53
Dy  0.0000  0.5000  0.9053  2 Zr 3.42, 8 Dy 3.42-3.56, 2 Tm 3.57
Tm  0.0000  0.0000  0.1980  12 Dy 3.51-3.57
Tm  0.0000  0.0000  0.3990  12 Dy 3.52-3.53
Tm  0.0000  0.0000  0.6010  12 Dy 3.52-3.53
Tm  0.0000  0.0000  0.8020  12 Dy 3.51-3.57
Zr  0.0000  0.0000  0.0000  12 Dy 3.42-3.52

Computed properties:
Total magnetization (Bohr magnetons per cell): 0.00
Uncorrected energy (eV per cell): -94.8
Space-group type: P4/mmm, No. 123
ΔH_f (0 K) (meV/atom): 33
N(E_F) (states/eV/atom): 1.314
V (Å³/cell): 612.9